(1)
Computed, not measured: a geometry-optimized Sn3Bi structure at the GGA-PBEsol level of DFT.

Energy relative to the elements, meV/atom: 45
VASP energy, Ry per atom: -0.310
Volume, Å³ per cell: 110
ρ, Mg/m³: 8.53
Total magnetization, μB/atom: 0.000

```
data_Sn3Bi
_chemical_formula_sum 'Sn3 Bi1'
_cell_length_a 4.792
_cell_length_b 4.792
_cell_length_c 4.792
_cell_angle_alpha 90.00
_cell_angle_beta 90.00
_cell_angle_gamma 90.00
_symmetry_space_group_name_H-M 'P m -3 m'
_symmetry_Int_Tables_number 221
_symmetry_space_group_name_Hall '-P 4 2 3'
loop_
_atom_site_label
_atom_site_fract_x
_atom_site_fract_y
_atom_site_fract_z
_atom_site_occupancy
Sn1 0.000 0.000 0.500 1
Bi1 0.500 0.500 0.500 1
```

***

(2)
Computed, not measured: a geometry-optimized InSbMo4 structure at the GGA-PBEsol level of DFT.

VASP energy, Ry per atom: -0.637
Volume, Å³ per cell: 421
ρ, Mg/m³: 9.79
Total magnetization, μB/atom: 0.000
ΔE_f (raw), eV/f.u.: 2.60

```
data_InSbMo4
_chemical_formula_sum 'In4 Sb4 Mo16'
_cell_length_a 7.494
_cell_length_b 7.494
_cell_length_c 7.494
_cell_angle_alpha 90.00
_cell_angle_beta 90.00
_cell_angle_gamma 90.00
_symmetry_space_group_name_H-M 'F -4 3 m'
_symmetry_Int_Tables_number 216
_symmetry_space_group_name_Hall 'F -4 2 3'
loop_
_atom_site_label
_atom_site_fract_x
_atom_site_fract_y
_atom_site_fract_z
_atom_site_occupancy
In1 0.000 0.000 0.000 1
Sb1 0.250 0.250 0.750 1
Mo1 0.125 0.125 0.375 1
```

***

(3)
Computed, not measured: a geometry-optimized VSbO4 structure at the GGA-PBEsol level of DFT.

VASP energy, Ry per atom: -0.563
Volume, Å³ per cell: 133
ρ, Mg/m³: 5.92
Total magnetization, μB/atom: 0.292
ΔE_f (raw), eV/f.u.: -10.81

```
data_VSbO4
_chemical_formula_sum 'V2 Sb2 O8'
_cell_length_a 6.439
_cell_length_b 6.591
_cell_length_c 3.128
_cell_angle_alpha 90.00
_cell_angle_beta 90.00
_cell_angle_gamma 90.00
_symmetry_space_group_name_H-M 'C m m m'
_symmetry_Int_Tables_number 65
_symmetry_space_group_name_Hall '-C 2 2'
loop_
_atom_site_label
_atom_site_fract_x
_atom_site_fract_y
_atom_site_fract_z
_atom_site_occupancy
V1 0.000 0.000 0.000 1
Sb1 0.000 0.500 0.500 1
O1 0.000 0.302 0.000 1
O2 0.188 0.000 0.500 1
```

***

(4)
Computed, not measured: a geometry-optimized SrNb2AlPb structure at the GGA-PBEsol level of DFT.

Energy relative to the elements, meV/atom: 2146
VASP energy, Ry per atom: -0.306
Volume, Å³ per cell: 130
ρ, Mg/m³: 6.48
Total magnetization, μB/atom: 0.000

```
data_SrNb2AlPb
_chemical_formula_sum 'Sr1 Nb2 Al1 Pb1'
_cell_length_a 4.933
_cell_length_b 4.933
_cell_length_c 5.346
_cell_angle_alpha 90.00
_cell_angle_beta 90.00
_cell_angle_gamma 90.00
_symmetry_space_group_name_H-M 'P 4/m m m'
_symmetry_Int_Tables_number 123
_symmetry_space_group_name_Hall '-P 4 2'
loop_
_atom_site_label
_atom_site_fract_x
_atom_site_fract_y
_atom_site_fract_z
_atom_site_occupancy
Sr1 0.000 0.000 0.000 1
Nb1 0.000 0.500 0.000 1
Al1 0.000 0.000 0.500 1
Pb1 0.500 0.500 0.500 1
```

***

(5)
Computed, not measured: a geometry-optimized Ru5Pt structure at the GGA-PBEsol level of DFT.

Energy relative to the elements, meV/atom: 68
VASP energy, Ry per atom: -0.703
Volume, Å³ per cell: 82
ρ, Mg/m³: 14.27
Total magnetization, μB/atom: 0.000

```
data_Ru5Pt
_chemical_formula_sum 'Ru5 Pt1'
_cell_length_a 2.668
_cell_length_b 2.668
_cell_length_c 11.449
_cell_angle_alpha 90.00
_cell_angle_beta 90.00
_cell_angle_gamma 90.00
_symmetry_space_group_name_H-M 'P 4/m m m'
_symmetry_Int_Tables_number 123
_symmetry_space_group_name_Hall '-P 4 2'
loop_
_atom_site_label
_atom_site_fract_x
_atom_site_fract_y
_atom_site_fract_z
_atom_site_occupancy
Ru1 0.000 0.000 0.000 1
Ru2 0.000 0.000 0.325 1
Ru3 0.500 0.500 0.166 1
Pt1 0.500 0.500 0.500 1
```

***

(6)
Computed, not measured: a geometry-optimized La2Ni structure at the GGA-PBEsol level of DFT.

Energy relative to the elements, meV/atom: -189
VASP energy, Ry per atom: -0.427
Volume, Å³ per cell: 315
ρ, Mg/m³: 7.09
Total magnetization, μB/atom: 0.000

```
data_La2Ni
_chemical_formula_sum 'La8 Ni4'
_cell_length_a 11.868
_cell_length_b 3.811
_cell_length_c 6.967
_cell_angle_alpha 90.00
_cell_angle_beta 90.05
_cell_angle_gamma 90.00
_symmetry_space_group_name_H-M 'C 1 m 1'
_symmetry_Int_Tables_number 8
loop_
_symmetry_equiv_pos_as_xyz
'x,y,z'
'x,-y,z'
'x+1/2,y+1/2,z'
'x+1/2,-y+1/2,z'
loop_
_atom_site_label
_atom_site_fract_x
_atom_site_fract_y
_atom_site_fract_z
_atom_site_occupancy
La1 0.000 0.000 0.000 1
La2 0.001 0.000 0.500 1
La3 0.221 0.500 0.751 1
La4 0.279 0.000 0.251 1
Ni1 0.106 0.500 0.250 1
Ni2 0.394 0.000 0.749 1
```